Compound: BaTi2AgHg
Source: Alexandria via LeMat-Bulk
Functional: GGA-PBE
Structure: relaxed

Values from the calculation:
* total energy: -12.28 eV/f.u.
* ΔE_f: 1.717 eV per atom
* total magnetization: 0.00 μB/f.u.
* Fermi-level density of states: 1.571 states/eV/atom

The structure in CIF format:
```
data_BaTi2AgHg
_space_group_name_H-M_alt 'P 1'
_space_group_IT_number 1
_cell_length_a 5.0943
_cell_length_b 5.5615
_cell_length_c 5.0943
_cell_angle_alpha 90.00
_cell_angle_beta 90.00
_cell_angle_gamma 90.00
loop_
_space_group_symop_operation_xyz
'x,y,z'
loop_
_atom_site_label
_atom_site_type_symbol
_atom_site_fract_x
_atom_site_fract_y
_atom_site_fract_z
_atom_site_occupancy
Ti1 Ti 0.5000 0.0000 0.0000 1
Ti2 Ti 0.0000 0.0000 0.5000 1
Hg1 Hg 0.5000 0.5000 0.5000 1
Ag1 Ag 0.0000 0.5000 0.0000 1
Ba1 Ba 0.0000 0.0000 0.0000 1
```